1.
Material: SmPuZn2
Method: DFT, PBE
State: optimized geometry

a b c (Å): 5.1052 5.1052 5.1052
angles (deg): 60.00 60.00 60.00
Closest atoms and distances in Å follow each position.
Element x y z (fractional)
1 Sm 0.5000 0.5000 0.5000  8 Zn 3.13
2 Zn 0.7500 0.7500 0.7500  4 Sm 3.13, 4 Pu 3.13
3 Zn 0.2500 0.2500 0.2500  4 Pu 3.13, 4 Sm 3.13
4 Pu 0.0000 0.0000 0.0000  8 Zn 3.13

Properties
**Excess energy over the best structure of this formula in the dataset**: 0.017 eV per atom
**Formation enthalpy at 0 K**: -61.6 kJ/mol of formula units


2.
Material: SmPuZn17
Method: DFT, PBE
State: optimized geometry

a b c (Å): 6.8207 6.8207 6.8207
angles (deg): 82.66 82.66 82.66
Closest atoms and distances in Å follow each position.
Element x y z (fractional)
1 Zn 0.2954 0.7041 0.0005  8 Zn 2.59-2.78
2 Zn 0.0001 0.0001 0.5000  10 Zn 2.59-2.75
3 Zn 0.6458 0.1633 0.6458  8 Zn 2.56-2.78
4 Zn 0.6458 0.6458 0.1633  8 Zn 2.56-2.78
5 Zn 0.7041 0.2954 0.0005  8 Zn 2.59-2.78
6 Zn 0.0005 0.2954 0.7041  8 Zn 2.59-2.78
7 Zn 0.8409 0.3514 0.3514  9 Zn 2.56-2.86
8 Zn 0.1001 0.1001 0.1001  7 Zn 2.63-2.86
9 Zn 0.0005 0.7041 0.2954  8 Zn 2.59-2.78
10 Zn 0.7041 0.0005 0.2954  8 Zn 2.59-2.78
11 Zn 0.3514 0.3514 0.8409  9 Zn 2.56-2.86
12 Zn 0.5000 0.0001 0.0001  10 Zn 2.59-2.75
13 Zn 0.0001 0.5000 0.0001  10 Zn 2.59-2.75
14 Zn 0.1633 0.6458 0.6458  8 Zn 2.56-2.78
15 Zn 0.2954 0.0005 0.7041  8 Zn 2.59-2.78
16 Zn 0.9014 0.9014 0.9014  7 Zn 2.63-2.91
17 Zn 0.3514 0.8409 0.3514  9 Zn 2.56-2.86
18 Sm 0.6649 0.6649 0.6649  19 Zn 3.13-3.46
19 Pu 0.3350 0.3350 0.3350  16 Zn 3.11-3.42

Properties
**Formation enthalpy at 0 K**: -359.3 kJ/mol of formula units


3.
Material: SmPuZn2
Method: DFT, PBE
State: optimized geometry

a b c (Å): 3.6224 5.0980 5.0980
angles (deg): 90.00 90.00 90.00
Closest atoms and distances in Å follow each position.
Element x y z (fractional)
1 Sm 0.5000 0.0000 0.0000  8 Zn 3.13
2 Zn 0.0000 0.0000 0.5000  4 Sm 3.13, 4 Pu 3.13
3 Zn 0.0000 0.5000 0.0000  4 Pu 3.13, 4 Sm 3.13
4 Pu 0.5000 0.5000 0.5000  8 Zn 3.13

Properties
**Excess energy over the best structure of this formula in the dataset**: 0.000 eV per atom
**Formation enthalpy at 0 K**: -68.3 kJ/mol of formula units


4.
Material: SmPuZr
Method: DFT, PBE
State: optimized geometry

a b c (Å): 3.3516 3.3516 7.6345
angles (deg): 102.68 102.68 90.00
Closest atoms and distances in Å follow each position.
Element x y z (fractional)
1 Sm 0.6707 0.6707 0.3414  4 Sm 3.35, 4 Zr 3.41, 4 Pu 3.54
2 Pu 0.9895 0.9895 0.9791  4 Zr 3.22, 4 Pu 3.35, 4 Sm 3.54
3 Zr 0.3398 0.3398 0.6796  4 Pu 3.22, 4 Zr 3.35, 4 Sm 3.41

Properties
**Excess energy over the best structure of this formula in the dataset**: 0.000 eV per atom
**Formation enthalpy at 0 K**: 46.5 kJ/mol of formula units


5.
Material: SmPuZr
Method: DFT, PBE
State: optimized geometry

a b c (Å): 3.3659 3.3659 8.3026
angles (deg): 90.00 90.00 120.00
Closest atoms and distances in Å follow each position.
Element x y z (fractional)
1 Pu 0.3333 0.6667 0.6505  3 Zr 3.21, 6 Pu 3.37, 3 Sm 3.54
2 Zr 0.6667 0.3333 0.3429  3 Pu 3.21, 6 Zr 3.37, 3 Sm 3.40
3 Sm 0.0000 0.0000 0.0066  6 Sm 3.37, 3 Zr 3.40, 3 Pu 3.54

Properties
**Excess energy over the best structure of this formula in the dataset**: 0.029 eV per atom
**Formation enthalpy at 0 K**: 54.8 kJ/mol of formula units


6.
Material: SmPu2Zr
Method: DFT, PBE
State: optimized geometry

a b c (Å): 4.8323 4.6953 4.6953
angles (deg): 90.00 90.00 90.00
Closest atoms and distances in Å follow each position.
Element x y z (fractional)
1 Sm 0.5000 0.5000 0.5000  4 Zr 3.32, 8 Pu 3.37
2 Pu 0.0000 0.0000 0.5000  4 Pu 3.32, 4 Zr 3.37, 4 Sm 3.37
3 Pu 0.0000 0.5000 0.0000  4 Pu 3.32, 4 Zr 3.37, 4 Sm 3.37
4 Zr 0.5000 0.0000 0.0000  4 Sm 3.32, 8 Pu 3.37

Properties
**Formation enthalpy at 0 K**: 89.8 kJ/mol of formula units


7.
Material: Pu3Sn
Method: DFT, PBE
State: optimized geometry

a b c (Å): 4.5459 4.5459 5.7121
angles (deg): 113.45 113.45 90.00
Closest atoms and distances in Å follow each position.
Element x y z (fractional)
1 Sn 0.0000 0.0000 0.0000  12 Pu 3.21-3.28
2 Pu 0.5000 0.5000 0.0000  4 Sn 3.21, 8 Pu 3.28
3 Pu 0.7500 0.2500 0.5000  8 Pu 3.21-3.28, 4 Sn 3.28
4 Pu 0.2500 0.7500 0.5000  8 Pu 3.21-3.28, 4 Sn 3.28

Properties
**Excess energy over the best structure of this formula in the dataset**: 0.037 eV per atom
**Formation enthalpy at 0 K**: -63.9 kJ/mol of formula units


8.
Material: Pu2Sn3
Method: DFT, PBE
State: optimized geometry

a b c (Å): 11.9664 11.9664 11.9664
angles (deg): 145.22 145.22 50.01
Closest atoms and distances in Å follow each position.
Element x y z (fractional)
1 Pu 0.0725 0.2932 0.7793  3 Pu 3.16-3.39, 5 Sn 3.21-3.33
2 Pu 0.0432 0.3225 0.2793  3 Pu 3.16-3.39, 5 Sn 3.21-3.33
3 Pu 0.2361 0.9568 0.2793  3 Pu 3.16-3.39, 5 Sn 3.21-3.33
4 Pu 0.7068 0.4861 0.7793  3 Pu 3.16-3.39, 5 Sn 3.21-3.33
5 Pu 0.6775 0.9568 0.7207  3 Pu 3.16-3.39, 5 Sn 3.21-3.33
6 Pu 0.5139 0.2932 0.2207  3 Pu 3.16-3.39, 5 Sn 3.21-3.33
7 Pu 0.0432 0.7639 0.7207  3 Pu 3.16-3.39, 5 Sn 3.21-3.33
8 Pu 0.7068 0.9275 0.2207  3 Pu 3.16-3.39, 5 Sn 3.21-3.33
9 Sn 0.5537 0.7678 0.2142  5 Sn 3.06-3.18, 3 Pu 3.32-3.33
10 Sn 0.1963 0.4822 0.2858  5 Sn 3.06-3.18, 3 Pu 3.32-3.33
11 Sn 0.0895 0.8037 0.2858  5 Sn 3.06-3.18, 3 Pu 3.32-3.33
12 Sn 0.8750 0.1250 0.7500  4 Sn 3.13, 4 Pu 3.21
13 Sn 0.2322 0.4463 0.7858  5 Sn 3.06-3.18, 3 Pu 3.32-3.33
14 Sn 0.6605 0.4463 0.2142  5 Sn 3.06-3.18, 3 Pu 3.32-3.33
15 Sn 0.1963 0.9105 0.7142  5 Sn 3.06-3.18, 3 Pu 3.32-3.33
16 Sn 0.8750 0.6250 0.7500  4 Sn 3.13, 4 Pu 3.21
17 Sn 0.5178 0.8037 0.7142  5 Sn 3.06-3.18, 3 Pu 3.32-3.33
18 Sn 0.5537 0.3395 0.7858  5 Sn 3.06-3.18, 3 Pu 3.32-3.33
19 Sn 0.8750 0.1250 0.2500  4 Sn 3.13, 4 Pu 3.21
20 Sn 0.3750 0.1250 0.2500  4 Sn 3.13, 4 Pu 3.21

Properties
**Formation enthalpy at 0 K**: -53.9 kJ/mol of formula units


9.
Material: Pu3Sn
Method: DFT, PBE
State: optimized geometry

a b c (Å): 3.3729 2.9750 9.7921
angles (deg): 90.00 90.00 90.00
Closest atoms and distances in Å follow each position.
Element x y z (fractional)
1 Sn 0.0000 0.0000 0.9828  2 Sn 2.98, 6 Pu 3.27-3.33
2 Pu 0.5000 0.5000 0.2331  2 Pu 2.50
3 Pu 0.5000 0.0000 0.6964  2 Pu 2.98, 2 Sn 3.27
4 Pu 0.0000 0.5000 0.4210  2 Pu 2.50

Properties
**Excess energy over the best structure of this formula in the dataset**: 0.328 eV per atom
**Formation enthalpy at 0 K**: 48.3 kJ/mol of formula units


10.
Material: Pu5Sn6
Method: DFT, PBE
State: optimized geometry

a b c (Å): 5.7211 6.2328 9.5453
angles (deg): 109.06 107.44 90.00
Closest atoms and distances in Å follow each position.
Element x y z (fractional)
1 Pu 0.6654 0.6654 0.3308  2 Pu 3.12, 8 Sn 3.25-3.26
2 Pu 0.3346 0.3346 0.6692  2 Pu 3.12, 8 Sn 3.25-3.26
3 Pu 0.3392 0.8392 0.6784  2 Pu 3.12, 8 Sn 3.15-3.35
4 Pu 0.6608 0.1608 0.3216  2 Pu 3.12, 8 Sn 3.15-3.35
5 Pu 0.0000 0.5000 0.0000  8 Sn 3.26-3.27
6 Sn 0.5001 0.2451 0.0000  2 Sn 3.06-3.18, 6 Pu 3.15-3.27
7 Sn 0.1666 0.9188 0.3333  2 Sn 3.09-3.14, 7 Pu 3.25-3.35
8 Sn 0.8333 0.5855 0.6667  2 Sn 3.09-3.14, 7 Pu 3.25-3.35
9 Sn 0.8334 0.0812 0.6667  2 Sn 3.09-3.14, 7 Pu 3.25-3.35
10 Sn 0.1667 0.4145 0.3333  2 Sn 3.09-3.14, 7 Pu 3.25-3.35
11 Sn 0.4999 0.7549 0.0000  2 Sn 3.06-3.18, 6 Pu 3.15-3.27

Properties
**Formation enthalpy at 0 K**: -227.2 kJ/mol of formula units


11.
Material: Pu3Sn
Method: DFT, PBE
State: optimized geometry

a b c (Å): 4.7192 4.7192 4.7192
angles (deg): 90.00 90.00 90.00
Closest atoms and distances in Å follow each position.
Element x y z (fractional)
1 Pu 0.5000 0.0000 0.5000  8 Pu 3.34, 4 Sn 3.34
2 Pu 0.5000 0.5000 0.0000  8 Pu 3.34, 4 Sn 3.34
3 Pu 0.0000 0.5000 0.5000  8 Pu 3.34, 4 Sn 3.34
4 Sn 0.0000 0.0000 0.0000  12 Pu 3.34

Properties
**Excess energy over the best structure of this formula in the dataset**: 0.000 eV per atom
**Formation enthalpy at 0 K**: -78.1 kJ/mol of formula units


12.
Material: Pu3Sn5
Method: DFT, PBE
State: optimized geometry

a b c (Å): 5.8276 6.5896 6.5908
angles (deg): 120.16 107.18 72.80
Closest atoms and distances in Å follow each position.
Element x y z (fractional)
1 Pu 0.0000 0.5000 0.5000  10 Sn 3.29-3.34, 2 Pu 3.43
2 Pu 0.4747 0.7547 0.2453  9 Sn 3.20-3.46, 3 Pu 3.30-3.43
3 Pu 0.5253 0.2453 0.7547  9 Sn 3.20-3.46, 3 Pu 3.30-3.43
4 Sn 0.0000 0.0000 0.5000  6 Pu 3.23-3.46, 6 Sn 3.29-3.31
5 Sn 0.0000 0.5000 0.0000  6 Pu 3.23-3.46, 6 Sn 3.29-3.31
6 Sn 0.5000 0.7494 0.7494  6 Sn 3.28-3.35, 6 Pu 3.30-3.34
7 Sn 0.0000 0.0000 0.0000  4 Pu 3.20-3.29, 8 Sn 3.29-3.35
8 Sn 0.5000 0.2506 0.2506  6 Sn 3.28-3.35, 6 Pu 3.30-3.34

Properties
**Formation enthalpy at 0 K**: -262.3 kJ/mol of formula units


13.
Material: Pu6Sn
Method: DFT, PBE
State: optimized geometry

a b c (Å): 5.8035 5.8035 5.8035
angles (deg): 109.47 109.47 109.47
Closest atoms and distances in Å follow each position.
Element x y z (fractional)
1 Pu 0.7500 0.2500 0.5000  4 Pu 2.37
2 Pu 0.2500 0.7500 0.5000  4 Pu 2.37
3 Pu 0.5000 0.7500 0.2500  4 Pu 2.37
4 Pu 0.2500 0.5000 0.7500  4 Pu 2.37
5 Pu 0.5000 0.2500 0.7500  4 Pu 2.37
6 Pu 0.7500 0.5000 0.2500  4 Pu 2.37
7 Sn 0.0000 0.0000 0.0000  24 Pu 3.75

Properties
**Formation enthalpy at 0 K**: 227.5 kJ/mol of formula units